# Pm2Pr5Ho4, relaxed, DFT PBE-GGA
data_Pm2Pr5Ho4
_chemical_formula_sum 'Pm2 Pr5 Ho4'
_cell_length_a 9.141
_cell_length_b 9.141
_cell_length_c 11.758
_cell_angle_alpha 93.87
_cell_angle_beta 93.87
_cell_angle_gamma 22.54
_symmetry_space_group_name_H-M 'P 1'
_symmetry_Int_Tables_number 1
_symmetry_space_group_name_Hall 'P 1'
loop_
_atom_site_label
_atom_site_fract_x
_atom_site_fract_y
_atom_site_fract_z
Pm1 0.217 0.217 0.352
Pm2 0.783 0.783 0.648
Pr1 0.000 0.000 0.000
Pr2 0.324 0.324 0.929
Pr3 0.404 0.404 0.465
Pr4 0.596 0.596 0.535
Pr5 0.676 0.676 0.071
Ho1 0.140 0.140 0.797
Ho2 0.467 0.467 0.741
Ho3 0.533 0.533 0.259
Ho4 0.860 0.860 0.203
# **D(E_F)**: 1.4022 states/eV/atom
# **Polymorph energy (0 for the lowest one)**: 0.000 eV/atom
# **Calculated formation energy**: 0.072 eV per atom
# **Magnetization**: 0.0 Bohr magnetons per cell